This record from Alexandria describes a relaxed structure of ScNbAg2Te. The functional is PBE-GGA. Values from VASP.

Structure (Quantum ESPRESSO input):
```
&SYSTEM
  ibrav = 0, nat = 5, ntyp = 4
/
ATOMIC_SPECIES
Sc 44.96 Sc.upf
Te 127.60 Te.upf
Ag 107.87 Ag.upf
Nb 92.91 Nb.upf
CELL_PARAMETERS angstrom
-4.906 0.826 1.375
0.260 -3.964 3.311
1.583 3.210 3.720
ATOMIC_POSITIONS crystal
Sc 0.500 0.500 0.500
Te 0.000 0.500 0.000
Ag 0.000 0.000 0.500
Nb 0.000 0.000 0.000
Ag 0.500 0.000 0.000
```

Raw formation energy = 0.693 eV per atom
Magnetic moment = 0.0 μB per formula unit
Final energy = -4.36 eV per atom
Space group = No. 123